No. 1
DFT (GGA-PBE) results for crystalline Tb2Al17 at its relaxed geometry.

Structure (POSCAR):
```
Tb2Al17
1.0
9.452 0.000 0.000
-4.726 8.186 0.000
0.000 0.000 8.947
Tb Al
4 34
direct
0.000 0.000 0.250
0.000 0.000 0.750
0.333 0.667 0.250
0.667 0.333 0.750
0.000 0.500 0.000
0.000 0.500 0.500
0.038 0.365 0.750
0.038 0.673 0.750
0.165 0.329 0.023
0.165 0.329 0.477
0.165 0.835 0.023
0.165 0.835 0.477
0.327 0.365 0.750
0.327 0.962 0.750
0.329 0.165 0.523
0.329 0.165 0.977
0.333 0.667 0.602
0.333 0.667 0.898
0.365 0.038 0.250
0.365 0.327 0.250
0.500 0.000 0.000
0.500 0.000 0.500
0.500 0.500 0.000
0.500 0.500 0.500
0.635 0.673 0.750
0.635 0.962 0.750
0.667 0.333 0.102
0.667 0.333 0.398
0.671 0.835 0.023
0.671 0.835 0.477
0.673 0.038 0.250
0.673 0.635 0.250
0.835 0.165 0.523
0.835 0.165 0.977
0.835 0.671 0.523
0.835 0.671 0.977
0.962 0.327 0.250
0.962 0.635 0.250
```

Calculated values
Space-group type: P6_3/mmc (194)
Theoretical density in Mg/m³: 3.73
E_tot in eV for the cell shown: -149.7



No. 2
DFT (GGA-PBE) results for crystalline Ga2SiPt at its relaxed geometry.

Structure (POSCAR):
```
Ga2SiPt
1.0
5.586 0.000 0.000
0.000 5.586 0.000
0.000 0.000 11.673
Ga Si Pt
8 4 4
direct
0.243 0.250 0.125
0.250 0.743 0.375
0.250 0.757 0.875
0.257 0.250 0.625
0.743 0.750 0.625
0.750 0.243 0.875
0.750 0.257 0.375
0.757 0.750 0.125
0.000 0.000 0.000
0.000 0.500 0.250
0.500 0.000 0.750
0.500 0.500 0.500
0.000 0.000 0.500
0.000 0.500 0.750
0.500 0.000 0.250
0.500 0.500 0.000
```

Calculated values
Uncorrected formation energy in eV per atom: 0.079
Space-group type: I-42d (122)
Theoretical density in Mg/m³: 6.61



No. 3
DFT (GGA-PBE) results for crystalline LaErZr at its relaxed geometry.

Structure (POSCAR):
```
LaErZr
1.0
3.397 0.000 0.000
0.000 3.397 0.000
0.000 0.000 15.363
La Er Zr
2 2 2
direct
0.000 0.000 0.000
0.500 0.500 0.500
0.000 0.000 0.310
0.500 0.500 0.810
0.000 0.000 0.665
0.500 0.500 0.165
```

Calculated values
Space-group type: I4mm (107)
Offset from the most stable computed form in eV per formula unit: 0.00
Theoretical density in Mg/m³: 7.45



No. 4
DFT (GGA-PBE) results for crystalline IrOs2Au at its relaxed geometry.

Structure (POSCAR):
```
IrOs2Au
1.0
5.503 0.000 0.000
0.000 7.927 0.000
0.000 0.000 2.770
Ir Os Au
2 4 2
direct
0.000 0.000 0.000
0.500 0.500 0.000
0.250 0.250 0.500
0.250 0.750 0.500
0.750 0.250 0.500
0.750 0.750 0.500
0.000 0.500 0.000
0.500 0.000 0.000
```

Calculated values
Space-group type: Cmmm (65)
Offset from the most stable computed form in eV per formula unit: 1.17
Theoretical density in Mg/m³: 21.15



No. 5
DFT (GGA-PBE) results for crystalline Ca2HoHg at its relaxed geometry.

Structure (POSCAR):
```
Ca2HoHg
1.0
3.772 0.000 0.000
-1.886 3.266 0.000
0.000 0.000 32.154
Ca Ho Hg
6 3 3
direct
0.000 0.000 0.000
0.000 0.000 0.187
0.333 0.667 0.667
0.333 0.667 0.853
0.667 0.333 0.333
0.667 0.333 0.520
0.000 0.000 0.427
0.333 0.667 0.094
0.667 0.333 0.761
0.000 0.000 0.593
0.333 0.667 0.260
0.667 0.333 0.926
```

Calculated values
Space-group type: R3m (160)
Offset from the most stable computed form in eV per formula unit: 0.08
Theoretical density in Mg/m³: 5.60



No. 6
DFT (GGA-PBE) results for crystalline CdReHg2 at its relaxed geometry.

Structure (POSCAR):
```
CdReHg2
1.0
6.848 0.000 0.000
0.000 6.848 0.000
0.000 0.000 6.848
Cd Re Hg
4 4 8
direct
0.000 0.000 0.000
0.000 0.500 0.500
0.500 0.000 0.500
0.500 0.500 0.000
0.250 0.250 0.750
0.250 0.750 0.250
0.750 0.250 0.250
0.750 0.750 0.750
0.000 0.000 0.500
0.000 0.500 0.000
0.250 0.250 0.250
0.250 0.750 0.750
0.500 0.000 0.000
0.500 0.500 0.500
0.750 0.250 0.750
0.750 0.750 0.250
```

Calculated values
Space-group type: F-43m (216)
Theoretical density in Mg/m³: 14.48
E_tot in eV for the cell shown: -39.9



No. 7
DFT (GGA-PBE) results for crystalline NaGaSb2Te at its relaxed geometry.

Structure (POSCAR):
```
NaGaSb2Te
1.0
5.341 0.000 0.000
0.000 5.341 0.000
0.000 0.000 5.725
Na Ga Sb Te
1 1 2 1
direct
0.000 0.000 0.000
0.500 0.500 0.500
0.000 0.500 0.500
0.500 0.000 0.500
0.500 0.500 0.000
```

Calculated values
Uncorrected formation energy in eV per atom: 0.214
Space-group type: P4/mmm (123)
Offset from the most stable computed form in eV per formula unit: 0.00
Theoretical density in Mg/m³: 4.72



No. 8
DFT (GGA-PBE) results for crystalline ReBi3Cl at its relaxed geometry.

Structure (POSCAR):
```
ReBi3Cl
1.0
5.382 0.000 0.000
0.000 5.382 0.000
0.000 0.000 5.382
Re Bi Cl
1 3 1
direct
0.000 0.000 0.000
0.000 0.500 0.500
0.500 0.000 0.500
0.500 0.500 0.000
0.500 0.500 0.500
```

Calculated values
Uncorrected formation energy in eV per atom: 1.568
Space-group type: Pm-3m (221)
Offset from the most stable computed form in eV per formula unit: 5.27
Theoretical density in Mg/m³: 9.04



No. 9
DFT (GGA-PBE) results for crystalline TiC3Cl at its relaxed geometry.

Structure (POSCAR):
```
TiC3Cl
1.0
4.187 0.000 0.000
0.000 4.187 0.000
0.000 0.000 4.187
Ti C Cl
1 3 1
direct
0.000 0.000 0.000
0.000 0.000 0.500
0.000 0.500 0.000
0.500 0.000 0.000
0.500 0.500 0.500
```

Calculated values
Uncorrected formation energy in eV per atom: 2.332
Space-group type: Pm-3m (221)
Offset from the most stable computed form in eV per formula unit: 0.00
Theoretical density in Mg/m³: 2.70



No. 10
DFT (GGA-PBE) results for crystalline Ac2PaRu at its relaxed geometry.

Structure (POSCAR):
```
Ac2PaRu
1.0
3.566 0.000 0.000
-1.783 3.089 0.000
0.000 0.000 33.252
Ac Pa Ru
6 3 3
direct
0.000 0.000 0.102
0.000 0.000 0.898
0.333 0.667 0.564
0.333 0.667 0.769
0.667 0.333 0.231
0.667 0.333 0.436
0.000 0.000 0.000
0.333 0.667 0.667
0.667 0.333 0.333
0.000 0.000 0.500
0.333 0.667 0.167
0.667 0.333 0.833
```

Calculated values
Space-group type: R-3m (166)
Theoretical density in Mg/m³: 10.69
E_tot in eV for the cell shown: -73.4



No. 11
DFT (GGA-PBE) results for crystalline Ti2B2Cl at its relaxed geometry.

Structure (POSCAR):
```
Ti2B2Cl
1.0
4.209 0.000 0.000
0.000 4.209 0.000
0.000 0.000 7.524
Ti B Cl
4 4 2
direct
0.000 0.500 0.250
0.000 0.500 0.750
0.500 0.000 0.250
0.500 0.000 0.750
0.000 0.000 0.107
0.000 0.000 0.893
0.500 0.500 0.393
0.500 0.500 0.607
0.000 0.000 0.500
0.500 0.500 0.000
```

Calculated values
Uncorrected formation energy in eV per atom: 0.110
Space-group type: I4/mmm (139)
Offset from the most stable computed form in eV per formula unit: 0.82
Theoretical density in Mg/m³: 3.81



No. 12
DFT (GGA-PBE) results for crystalline CoTc2Br8 at its relaxed geometry.

Structure (POSCAR):
```
CoTc2Br8
1.0
6.183 -4.990 0.000
6.183 4.990 0.000
-0.831 0.000 6.405
Co Tc Br
1 2 8
direct
0.000 0.000 0.000
0.193 0.193 0.641
0.807 0.807 0.359
0.082 0.732 0.211
0.176 0.176 0.269
0.268 0.918 0.789
0.383 0.383 0.762
0.617 0.617 0.238
0.732 0.082 0.211
0.824 0.824 0.731
0.918 0.268 0.789
```

Calculated values
Uncorrected formation energy in eV per atom: -0.054
Space-group type: C2/m (12)
Theoretical density in Mg/m³: 3.76



No. 13
DFT (GGA-PBE) results for crystalline Ac2YMg2 at its relaxed geometry.

Structure (POSCAR):
```
Ac2YMg2
1.0
3.985 0.000 0.000
0.000 22.227 0.000
0.000 0.000 3.900
Ac Y Mg
4 2 4
direct
0.000 0.176 0.000
0.000 0.824 0.000
0.500 0.324 0.000
0.500 0.676 0.000
0.000 0.000 0.000
0.500 0.500 0.000
0.000 0.423 0.500
0.000 0.577 0.500
0.500 0.077 0.500
0.500 0.923 0.500
```

Calculated values
Space-group type: Cmmm (65)
Theoretical density in Mg/m³: 5.69
E_tot in eV for the cell shown: -35.6



No. 14
DFT (GGA-PBE) results for crystalline Ba2CaBe at its relaxed geometry.

Structure (POSCAR):
```
Ba2CaBe
1.0
4.154 0.000 0.000
0.000 5.738 0.000
0.000 0.000 14.448
Ba Ca Be
4 2 2
direct
0.000 0.000 0.000
0.000 0.500 0.500
0.500 0.000 0.315
0.500 0.500 0.815
0.500 0.000 0.637
0.500 0.500 0.137
0.000 0.000 0.778
0.000 0.500 0.278
```

Calculated values
Space-group type: Amm2 (38)
Theoretical density in Mg/m³: 3.12
E_tot in eV for the cell shown: -16.3



No. 15
DFT (GGA-PBE) results for crystalline Ta2NbBi at its relaxed geometry.

Structure (POSCAR):
```
Ta2NbBi
1.0
4.100 0.000 0.000
0.000 4.100 0.000
0.000 0.000 20.497
Ta Nb Bi
8 4 4
direct
0.249 0.250 0.125
0.250 0.749 0.375
0.250 0.751 0.875
0.251 0.250 0.625
0.749 0.750 0.625
0.750 0.249 0.875
0.750 0.251 0.375
0.751 0.750 0.125
0.000 0.000 0.000
0.000 0.500 0.250
0.500 0.000 0.750
0.500 0.500 0.500
0.000 0.000 0.500
0.000 0.500 0.750
0.500 0.000 0.250
0.500 0.500 0.000
```

Calculated values
Space-group type: I-42d (122)
Theoretical density in Mg/m³: 12.79
E_tot in eV for the cell shown: -137.8



No. 16
DFT (GGA-PBE) results for crystalline SbPb4Au at its relaxed geometry.

Structure (POSCAR):
```
SbPb4Au
1.0
4.601 -6.975 0.000
4.601 6.975 0.000
-2.019 0.000 5.534
Sb Pb Au
2 8 2
direct
0.121 0.879 0.750
0.879 0.121 0.250
0.129 0.285 0.846
0.201 0.562 0.419
0.285 0.129 0.346
0.438 0.799 0.081
0.562 0.201 0.919
0.715 0.871 0.654
0.799 0.438 0.581
0.871 0.715 0.154
0.487 0.513 0.750
0.513 0.487 0.250
```

Calculated values
Uncorrected formation energy in eV per atom: -0.007
Space-group type: C2/c (15)
Offset from the most stable computed form in eV per formula unit: 0.00
Theoretical density in Mg/m³: 10.73



No. 17
DFT (GGA-PBE) results for crystalline CrTcAs2P at its relaxed geometry.

Structure (POSCAR):
```
CrTcAs2P
1.0
4.860 0.000 0.000
0.000 4.860 0.000
0.000 0.000 4.441
Cr Tc As P
1 1 2 1
direct
0.000 0.000 0.000
0.500 0.500 0.500
0.000 0.500 0.500
0.500 0.000 0.500
0.500 0.500 0.000
```

Calculated values
Space-group type: P4/mmm (123)
Theoretical density in Mg/m³: 5.24
E_tot in eV for the cell shown: -28.9



No. 18
DFT (GGA-PBE) results for crystalline PaCuPO at its relaxed geometry.

Structure (POSCAR):
```
PaCuPO
1.0
3.774 0.000 0.000
0.000 3.774 0.000
0.000 0.000 8.300
Pa Cu P O
2 2 2 2
direct
0.250 0.250 0.168
0.750 0.750 0.832
0.250 0.750 0.500
0.750 0.250 0.500
0.250 0.250 0.677
0.750 0.750 0.323
0.250 0.750 0.000
0.750 0.250 0.000
```

Calculated values
Uncorrected formation energy in eV per atom: -1.791
Space-group type: P4/nmm (129)
Theoretical density in Mg/m³: 9.60



No. 19
DFT (GGA-PBE) results for crystalline PuICl at its relaxed geometry.

Structure (POSCAR):
```
PuICl
1.0
3.507 0.000 0.000
0.000 9.347 0.000
0.000 0.000 13.194
Pu I Cl
4 4 4
direct
0.234 0.166 0.015
0.266 0.834 0.515
0.734 0.334 0.985
0.766 0.666 0.485
0.234 0.254 0.795
0.266 0.746 0.295
0.734 0.246 0.205
0.766 0.754 0.705
0.233 0.551 0.985
0.267 0.449 0.485
0.733 0.949 0.015
0.767 0.051 0.515
```

Calculated values
Uncorrected formation energy in eV per atom: -0.942
Space-group type: P2_12_12_1 (19)
Offset from the most stable computed form in eV per formula unit: 1.42
Theoretical density in Mg/m³: 6.24



No. 20
DFT (GGA-PBE) results for crystalline BaY2Pt at its relaxed geometry.

Structure (POSCAR):
```
BaY2Pt
1.0
7.713 0.000 0.000
0.000 7.713 0.000
0.000 0.000 7.713
Ba Y Pt
4 8 4
direct
0.000 0.000 0.000
0.000 0.500 0.500
0.500 0.000 0.500
0.500 0.500 0.000
0.000 0.000 0.500
0.000 0.500 0.000
0.250 0.250 0.750
0.250 0.750 0.250
0.500 0.000 0.000
0.500 0.500 0.500
0.750 0.250 0.250
0.750 0.750 0.750
0.250 0.250 0.250
0.250 0.750 0.750
0.750 0.250 0.750
0.750 0.750 0.250
```

Calculated values
Space-group type: F-43m (216)
Offset from the most stable computed form in eV per formula unit: 2.41
Theoretical density in Mg/m³: 7.39



No. 21
DFT (GGA-PBE) results for crystalline KPrHgBr6 at its relaxed geometry.

Structure (POSCAR):
```
KPrHgBr6
1.0
7.466 0.000 0.000
-3.733 6.466 0.000
0.000 0.000 14.626
K Pr Hg Br
2 2 2 12
direct
0.000 0.000 0.000
0.000 0.000 0.500
0.333 0.667 0.250
0.667 0.333 0.750
0.333 0.667 0.750
0.667 0.333 0.250
0.007 0.372 0.635
0.007 0.634 0.865
0.366 0.372 0.865
0.366 0.993 0.635
0.372 0.007 0.135
0.372 0.366 0.365
0.628 0.634 0.635
0.628 0.993 0.865
0.634 0.007 0.365
0.634 0.628 0.135
0.993 0.366 0.135
0.993 0.628 0.365
```

Calculated values
Uncorrected formation energy in eV per atom: -1.356
Space-group type: P-31c (163)
Theoretical density in Mg/m³: 4.05



No. 22
DFT (GGA-PBE) results for crystalline ZnGaSe at its relaxed geometry.

Structure (POSCAR):
```
ZnGaSe
1.0
3.856 0.000 0.000
1.241 5.891 0.000
1.260 1.074 5.792
Zn Ga Se
2 2 2
direct
0.043 0.131 0.134
0.957 0.869 0.866
0.498 0.248 0.751
0.502 0.752 0.249
0.447 0.316 0.314
0.553 0.684 0.686
```

Calculated values
Uncorrected formation energy in eV per atom: -0.231
Space-group type: P-1 (2)
Offset from the most stable computed form in eV per formula unit: 0.29
Theoretical density in Mg/m³: 5.40



No. 23
DFT (GGA-PBE) results for crystalline CuRhCS at its relaxed geometry.

Structure (POSCAR):
```
CuRhCS
1.0
4.067 0.000 0.000
0.000 3.165 0.000
-0.445 0.000 4.171
Cu Rh C S
1 1 1 1
direct
0.000 0.000 0.000
0.594 0.000 0.417
0.670 0.500 0.140
0.374 0.500 0.800
```

Calculated values
Uncorrected formation energy in eV per atom: 0.446
Space-group type: Pm (6)
Offset from the most stable computed form in eV per formula unit: 0.43
Theoretical density in Mg/m³: 6.51



No. 24
DFT (GGA-PBE) results for crystalline CdAsIr2 at its relaxed geometry.

Structure (POSCAR):
```
CdAsIr2
1.0
7.138 0.000 0.000
0.000 7.138 0.000
0.000 0.000 5.630
Cd As Ir
4 4 8
direct
0.000 0.000 0.000
0.000 0.500 0.250
0.500 0.000 0.750
0.500 0.500 0.500
0.000 0.000 0.500
0.000 0.500 0.750
0.500 0.000 0.250
0.500 0.500 0.000
0.193 0.750 0.625
0.250 0.193 0.375
0.250 0.307 0.875
0.307 0.750 0.125
0.693 0.250 0.125
0.750 0.693 0.875
0.750 0.807 0.375
0.807 0.250 0.625
```

Calculated values
Space-group type: I-42d (122)
Offset from the most stable computed form in eV per formula unit: 0.81
Theoretical density in Mg/m³: 13.24



No. 25
DFT (GGA-PBE) results for crystalline RbSr2Ru at its relaxed geometry.

Structure (POSCAR):
```
RbSr2Ru
1.0
8.561 0.000 0.000
0.000 8.561 0.000
0.000 0.000 12.164
Rb Sr Ru
4 8 4
direct
0.000 0.000 0.000
0.000 0.500 0.250
0.500 0.000 0.750
0.500 0.500 0.500
0.001 0.250 0.625
0.250 0.501 0.875
0.250 0.999 0.375
0.499 0.250 0.125
0.501 0.750 0.125
0.750 0.001 0.375
0.750 0.499 0.875
0.999 0.750 0.625
0.000 0.000 0.500
0.000 0.500 0.750
0.500 0.000 0.250
0.500 0.500 0.000
```

Calculated values
Space-group type: I-42d (122)
Offset from the most stable computed form in eV per formula unit: 0.00
Theoretical density in Mg/m³: 2.70